Tb7Sm12Ho | PBE-GGA | relaxed

The structure in extended XYZ format:
```
20
Lattice="-4.758 -1.864 3.481 -5.172 0.957 -10.219 7.167 -8.878 1.381" Properties=species:S:1:pos:R:3 pbc="T T T"
Tb -4.502 0.482 -7.272
Tb -2.400 -3.811 3.377
Tb -1.482 -7.151 -4.478
Tb -2.379 -0.932 1.741
Tb -1.282 -2.635 -0.878
Tb -0.363 -5.975 -8.734
Tb 1.738 -10.268 1.915
Sm -2.199 -1.143 -5.453
Sm 2.894 -5.211 -0.661
Sm -6.135 -0.480 -4.554
Sm 0.575 -3.915 1.923
Sm -0.311 -5.745 -1.666
Sm 1.012 -5.225 -5.503
Sm -3.776 -4.561 0.146
Sm -2.452 -4.041 -3.690
Sm -3.339 -5.871 -7.280
Sm 3.371 -9.306 -0.802
Sm -5.657 -4.575 -4.696
Sm -0.565 -8.643 0.097
Ho 0.000 0.000 0.000
```

Properties
**ΔE_f**: 0.249 eV/atom
**E**: -0.3258 Ry per atom
**Energy relative to the lowest polymorph listed for this composition**: 0.0 meV per atom